# Nd2Si3Rh2

A relaxed Nd2Si3Rh2 crystal (PBE, the Alexandria database).

Cell and atoms, written as POSCAR:
```
Nd2Si3Rh2
1.0
2.1119 -8.9718 0.0000
2.1119 8.9718 0.0000
0.0000 0.0000 6.9474
Nd Si Rh
4 6 4
direct
0.0556 0.9444 0.7500
0.1574 0.8426 0.2500
0.8426 0.1574 0.7500
0.9444 0.0556 0.2500
0.2229 0.7771 0.7500
0.4394 0.5606 0.5717
0.4394 0.5606 0.9283
0.5606 0.4394 0.0717
0.5606 0.4394 0.4283
0.7771 0.2229 0.2500
0.3079 0.6921 0.0482
0.3079 0.6921 0.4518
0.6921 0.3079 0.5482
0.6921 0.3079 0.9518
```

* raw formation energy: -0.882 eV/atom
* N(E_F): 7.17 states/eV per cell
* M_tot: 0.000 μB/cell
* polymorph energy (0 for the lowest one): 0 meV per atom
* symmetry: Cmcm (63)

# Pr2Nd5YTh

A relaxed Pr2Nd5YTh crystal (PBE, the Alexandria database).

Cell and atoms, written as POSCAR:
```
Pr2Nd5YTh
1.0
2.7516 -11.0844 0.0000
2.7516 11.0844 0.0000
0.0000 0.0000 10.5651
Pr Nd Y Th
4 10 2 2
direct
0.1136 0.8864 0.5014
0.1136 0.8864 0.9986
0.8864 0.1136 0.0014
0.8864 0.1136 0.4986
0.0008 0.9992 0.7500
0.2768 0.7232 0.5578
0.2768 0.7232 0.9422
0.3729 0.6271 0.2500
0.5000 0.5000 0.0000
0.5000 0.5000 0.5000
0.6271 0.3729 0.7500
0.7232 0.2768 0.0578
0.7232 0.2768 0.4422
0.9992 0.0008 0.2500
0.3972 0.6028 0.7500
0.6028 0.3972 0.2500
0.2119 0.7881 0.2500
0.7881 0.2119 0.7500
```

* N(E_F): 25.69 states/eV per cell
* M_tot: 0.000 μB/cell
* DFT formation energy: 0.136 eV per atom
* symmetry: Cmcm (63)

# Np2Br4F3

A relaxed Np2Br4F3 crystal (PBE, the Alexandria database).

Cell and atoms, written as POSCAR:
```
Np2Br4F3
1.0
7.8883 -1.9345 0.0000
7.8883 1.9345 0.0000
-2.3147 0.0000 7.3613
Np Br F
2 4 3
direct
0.1026 0.1026 0.4442
0.8974 0.8974 0.5558
0.0708 0.0708 0.8089
0.2665 0.2665 0.3102
0.7335 0.7335 0.6898
0.9292 0.9292 0.1911
0.3941 0.3941 0.7096
0.5000 0.5000 0.5000
0.6059 0.6059 0.2904
```

* raw formation energy: -2.136 eV/atom
* N(E_F): 13.00 states/eV per cell
* M_tot: 7.000 μB/cell
* symmetry: C2/m (12)

# CsPuPb2Cl8

A relaxed CsPuPb2Cl8 crystal (PBE, the Alexandria database).

Cell and atoms, written as POSCAR:
```
CsPuPb2Cl8
1.0
6.7830 0.0000 0.0000
0.1260 6.8589 0.0000
0.0360 0.0314 9.1997
Cs Pu Pb Cl
1 1 2 8
direct
0.0000 0.0000 0.0000
0.0000 0.0000 0.5000
0.4996 0.5000 0.2499
0.5004 0.5000 0.7501
0.2457 0.8424 0.7035
0.2467 0.8435 0.2960
0.2476 0.3184 0.4995
0.2713 0.4029 0.0017
0.7287 0.5970 0.9983
0.7524 0.6816 0.5005
0.7533 0.1565 0.7040
0.7543 0.1576 0.2965
```

* raw formation energy: -1.526 eV/atom
* N(E_F): 8.79 states/eV per cell
* M_tot: 5.000 μB/cell
* symmetry: P-1 (2)